## Fe2Ni2H (PBE)

Data for crystalline Fe2Ni2H at its relaxed geometry.

a b c (Å): 3.612 3.620 3.620
angles (deg): 90.00 90.00 90.00
Atoms (fractional coordinates):
Fe: 0.000 0.500 0.000
Fe: 0.000 0.000 0.500
Ni: 0.500 0.000 0.000
Ni: 0.500 0.500 0.500
H: 0.000 0.000 0.000

total magnetic moment: 6.3 μB per formula unit
DOS at the Fermi energy: 0.404 states/eV/atom
electronic total energy: -32.0 eV for the cell shown